Arrangement w

Material: TmPaCd
Method: DFT, PBE
State: relaxed

Summary:
**Density**: 11.174 Mg/m³
**Total magnetization**: 0.000 μB per atom

Cell lengths 3.259, 17.751, 5.265 Å; angles 90.00, 90.00, 90.00 degrees
Space group Cmcm (No. 63)
Symmetry-distinct sites (fractional):
Tm  0.000  0.097  0.250 (multiplicity 4)
Pa  0.000  0.230  0.750 (multiplicity 4)
Cd  0.000  0.441  0.250 (multiplicity 4)

***

Arrangement x

Material: TmPaCd
Method: DFT, PBE
State: relaxed

Summary:
**Density**: 11.210 Mg/m³
**Total magnetization**: 0.000 μB per atom

Cell lengths 3.193, 3.193, 14.891 Å; angles 90.00, 90.00, 90.00 degrees
Space group I4mm (No. 107)
Symmetry-distinct sites (fractional):
Tm  0.000  0.000  0.000 (multiplicity 2)
Pa  0.000  0.000  0.672 (multiplicity 2)
Cd  0.000  0.000  0.340 (multiplicity 2)

***

Which of them is the least stable? Correct choice: arrangement x.